Compound: KMgW2
Source: the Alexandria database
Functional: GGA-PBEsol
Structure: optimized geometry

Cell and atoms, written as POSCAR:
```
KMgW2
1.0
3.067 0.000 0.000
0.000 5.663 0.000
-1.533 -2.831 5.328
K Mg W
1 1 2
Direct
0.487 0.487 0.973 K
0.277 0.777 0.555 Mg
0.032 0.032 0.065 W
0.704 0.204 0.407 W
```

density of states at the Fermi level: 0.81 states/eV per atom
energy: -6.3008 eV per atom